*a*
Pa2Ge5Os3 | PBE | relaxed

Cell: 4.227 6.922 12.531 Å, 90.00 99.71 90.00°
Positions (direct):
1 Pa 0.477 0.756 0.955
2 Pa 0.175 0.724 0.350
3 Pa 0.825 0.224 0.650
4 Pa 0.523 0.256 0.045
5 Ge 0.399 0.390 0.798
6 Ge 0.292 0.508 0.583
7 Ge 0.708 0.008 0.417
8 Ge 0.122 0.265 0.243
9 Ge 0.292 0.926 0.584
10 Ge 0.950 0.093 0.900
11 Ge 0.708 0.426 0.416
12 Ge 0.878 0.765 0.757
13 Ge 0.050 0.593 0.100
14 Ge 0.601 0.890 0.202
15 Os 0.775 0.714 0.551
16 Os 0.606 0.513 0.213
17 Os 0.051 0.976 0.102
18 Os 0.225 0.214 0.449
19 Os 0.949 0.476 0.898
20 Os 0.394 0.013 0.787

Output
The volume is 361.35 Å³ per cell. Its space-group type is No. 36. The density of states at the Fermi level comes out at 15.4 states/eV per cell.



*b*
Pa2Ge5Os3 | PBE | relaxed

Cell: 5.950 8.408 8.408 Å, 74.68 69.28 69.28°
Positions (direct):
1 Pa 0.139 0.590 0.132
2 Pa 0.639 0.132 0.590
3 Pa 0.861 0.410 0.868
4 Pa 0.361 0.868 0.410
5 Ge 0.407 0.255 0.931
6 Ge 0.907 0.931 0.255
7 Ge 0.593 0.745 0.069
8 Ge 0.093 0.069 0.745
9 Ge 0.467 0.783 0.783
10 Ge 0.533 0.217 0.217
11 Ge 0.750 0.500 0.500
12 Ge 0.250 0.500 0.500
13 Ge 0.033 0.217 0.217
14 Ge 0.967 0.783 0.783
15 Os 0.351 0.535 0.762
16 Os 0.851 0.762 0.535
17 Os 0.649 0.465 0.238
18 Os 0.149 0.238 0.465
19 Os 0.250 0.000 0.000
20 Os 0.750 0.000 0.000

Output
The volume is 363.28 Å³ per cell. Its space-group type is No. 72. The density of states at the Fermi level comes out at 12.8 states/eV per cell.



Pick the most stable structure from those above. Pick: *b*